A plane-wave DFT calculation with PBE was carried out for a relaxed CoPdPt2 crystal.

Crystal system: orthorhombic
E_form in meV per atom: -49
Total magnetization in μB per cell: 6.4

a b c (Å): 2.750 5.251 8.405
angles (deg): 90.00 90.00 105.23
Each line ends with the local moment (μB).
Positions (direct):
Pd  0.971  0.944  0.250  0.33
Pd  0.029  0.056  0.750  0.33
Pt  0.367  0.734  0.522  0.42
Pt  0.367  0.734  0.978  0.42
Pt  0.633  0.266  0.478  0.42
Pt  0.633  0.266  0.022  0.42
Co  0.241  0.482  0.250  2.08
Co  0.759  0.518  0.750  2.08